Compound: Sr2MnMoO6
Source: Alexandria via LeMat-Bulk
Functional: PBE with a Hubbard U
Structure: optimized geometry

Summary:
Electronic total energy, eV per atom: -7.056
Calculated density, g cm⁻³: 5.2

Lattice parameters (Å, degrees): 5.7227 5.7674 9.9137 90.00 125.16 90.00
Last column: nearest neighbours and their distance in Å.
Space group P2_1/c (No. 14)
Symmetry-distinct sites (fractional):
Sr (0.2446, 0.0328, 0.2507)  6 O 2.53-2.77
Mn (0.5000, 0.0000, 0.0000)  6 O 2.18-2.19
Mo (0.0000, 0.0000, 0.5000)  6 O 1.95-1.96
O (0.1628, 0.2296, 0.9626)  1 Mo 1.96, 1 Mn 2.19
O (0.2354, 0.7027, 0.9659)  1 Mo 1.95, 1 Mn 2.18
O (0.3038, 0.0164, 0.7357)  1 Mo 1.95, 1 Mn 2.18